# AcZn2Au8 PBE optimized geometry
# total magnetic moment: 0.00 μB per formula unit
# formation energy from the elements: -166 meV per atom
data_AcZn2Au8
_chemical_formula_sum 'Ac1 Zn2 Au8'
_cell_length_a 5.5757
_cell_length_b 5.5757
_cell_length_c 8.6143
_cell_angle_alpha 90.00
_cell_angle_beta 90.00
_cell_angle_gamma 90.00
_space_group_name_H-M_alt 'P 4/m m m'
_space_group_IT_number 123
_space_group_name_Hall '-P 4 2'
loop_
_atom_site_label
_atom_site_fract_x
_atom_site_fract_y
_atom_site_fract_z
_atom_site_occupancy
Ac1 0.0000 0.0000 0.0000 1
Zn1 0.0000 0.5000 0.5000 1
Au1 0.2539 0.2539 0.2880 1

---

# NaPmNi PBE optimized geometry
# total magnetic moment: 0.00 μB per formula unit
# formation energy from the elements: -21 meV per atom
data_NaPmNi
_chemical_formula_sum 'Na2 Pm2 Ni2'
_cell_length_a 4.0465
_cell_length_b 4.0465
_cell_length_c 8.5525
_cell_angle_alpha 90.00
_cell_angle_beta 90.00
_cell_angle_gamma 90.00
_space_group_name_H-M_alt 'P 4/n m m'
_space_group_IT_number 129
loop_
_space_group_symop_operation_xyz
'x,y,z'
'-x,-y,-z'
'-y+1/2,x,z'
'y+1/2,-x,-z'
'-x+1/2,-y+1/2,z'
'x+1/2,y+1/2,-z'
'y,-x+1/2,z'
'-y,x+1/2,-z'
'x+1/2,-y,-z'
'-x+1/2,y,z'
'-y,-x,-z'
'y,x,z'
'-x,y+1/2,-z'
'x,-y+1/2,z'
'y+1/2,x+1/2,-z'
'-y+1/2,-x+1/2,z'
loop_
_atom_site_label
_atom_site_fract_x
_atom_site_fract_y
_atom_site_fract_z
_atom_site_occupancy
Na1 0.2500 0.7500 0.0000 1
Pm1 0.2500 0.2500 0.3619 1
Ni1 0.2500 0.2500 0.6989 1